A plane-wave DFT calculation with PBE was carried out for a relaxed structure of PrAg2Hg2.

Values from the calculation:
energy: -2.374 eV per atom
energy above the most stable polymorph in this dataset: 0 meV per atom
energy relative to the elements: -0.849 eV/f.u.
total moment: 0.0 μB per formula unit
SG: I4/mmm, No. 139

a = 7.0613 Å, b = 7.0613 Å, c = 7.0613 Å
α = 144.08°, β = 144.08°, γ = 51.70°
Fractional coordinates of all 5 atoms:
Pr: 0.0000 0.0000 0.0000
Ag: 0.2500 0.7500 0.5000
Ag: 0.7500 0.2500 0.5000
Hg: 0.3908 0.3908 0.0000
Hg: 0.6092 0.6092 0.0000

A plane-wave DFT calculation with PBE was carried out for a relaxed structure of BeZnCoTc.

Values from the calculation:
energy: -5.581 eV per atom
energy above the most stable polymorph in this dataset: 0 meV per atom
total moment: 2.0 μB per formula unit
SG: F-43m, No. 216

a = 4.0556 Å, b = 4.0556 Å, c = 4.0556 Å
α = 60.00°, β = 60.00°, γ = 60.00°
Fractional coordinates of all 4 atoms:
Be: 0.0000 0.0000 0.0000
Zn: 0.2500 0.2500 0.2500
Co: 0.5000 0.5000 0.5000
Tc: 0.7500 0.7500 0.7500

A plane-wave DFT calculation with PBE was carried out for a relaxed structure of LuPtNO.

Values from the calculation:
energy: -7.328 eV per atom
energy above the most stable polymorph in this dataset: 0 meV per atom
total moment: 0.0 μB per formula unit
SG: P4/nmm, No. 129

a = 4.1508 Å, b = 4.1508 Å, c = 6.7985 Å
α = 90.00°, β = 90.00°, γ = 90.00°
Fractional coordinates of all 8 atoms:
Lu: 0.2500 0.2500 0.1251
Lu: 0.7500 0.7500 0.8749
Pt: 0.2500 0.7500 0.5000
Pt: 0.7500 0.2500 0.5000
N: 0.2500 0.2500 0.4467
N: 0.7500 0.7500 0.5533
O: 0.2500 0.7500 0.0000
O: 0.7500 0.2500 0.0000

A plane-wave DFT calculation with PBE was carried out for a relaxed structure of Hg2As2O5.

Values from the calculation:
energy: -3.781 eV per atom
energy above the most stable polymorph in this dataset: 514 meV per atom
SG: P4/mmm, No. 123

a = 3.4846 Å, b = 3.4846 Å, c = 9.9168 Å
α = 90.00°, β = 90.00°, γ = 90.00°
Fractional coordinates of all 9 atoms:
Hg: 0.0000 0.0000 0.2294
Hg: 0.0000 0.0000 0.7706
As: 0.5000 0.5000 0.0000
As: 0.5000 0.5000 0.5000
O: 0.0000 0.0000 0.0000
O: 0.0000 0.5000 0.3844
O: 0.0000 0.5000 0.6156
O: 0.5000 0.0000 0.3844
O: 0.5000 0.0000 0.6156

A plane-wave DFT calculation with PBE was carried out for a relaxed structure of AcPW.

Values from the calculation:
energy: -7.830 eV per atom
total moment: 0.0 μB per formula unit
SG: R-3m, No. 166

a = 11.2233 Å, b = 11.2233 Å, c = 11.2233 Å
α = 20.47°, β = 20.47°, γ = 20.47°
Fractional coordinates of all 6 atoms:
Ac: 0.1125 0.1125 0.1125
Ac: 0.8875 0.8875 0.8875
P: 0.2822 0.2822 0.2822
P: 0.7178 0.7178 0.7178
W: 0.3575 0.3575 0.3575
W: 0.6425 0.6425 0.6425

A plane-wave DFT calculation with PBE was carried out for a relaxed structure of Zn2W.

Values from the calculation:
energy: -5.020 eV per atom
energy above the most stable polymorph in this dataset: 0 meV per atom
energy relative to the elements: 0.428 eV/f.u.
total moment: 0.0 μB per formula unit
SG: P6_3/mmc, No. 194

a = 4.9033 Å, b = 4.9033 Å, c = 8.0159 Å
α = 90.00°, β = 90.00°, γ = 120.00°
Fractional coordinates of all 12 atoms:
Zn: 0.0000 0.0000 0.0000
Zn: 0.0000 0.0000 0.5000
Zn: 0.1713 0.3426 0.2500
Zn: 0.1713 0.8287 0.2500
Zn: 0.3426 0.1713 0.7500
Zn: 0.6574 0.8287 0.2500
Zn: 0.8287 0.1713 0.7500
Zn: 0.8287 0.6574 0.7500
W: 0.3333 0.6667 0.5636
W: 0.3333 0.6667 0.9364
W: 0.6667 0.3333 0.0636
W: 0.6667 0.3333 0.4364

energy of number 4 (Hg2As2O5)?
-3.781 eV per atom

energy of number 5 (AcPW)?
-7.830 eV per atom